Nb3W4 after structural relaxation. Source: the Alexandria database, functional PBE.

Structure (extended XYZ):
```
7
Lattice="3.113 0.000 0.389 -0.049 3.113 0.389 -0.104 -0.105 13.482" Properties=species:S:1:pos:R:3 pbc="T T T"
W 1.638 1.664 12.193
W 0.291 0.296 10.322
Nb 2.354 2.391 6.468
Nb 0.607 0.617 7.792
W 1.323 1.344 2.066
Nb 0.000 0.000 0.000
W 2.670 2.712 3.938
```

Computed properties:
Formation enthalpy at 0 K in eV/f.u.: 4.57
DFT total energy in eV/atom: -11.065
Mass density in g cm⁻³: 12.86